This record from Alexandria describes a relaxed Ti2CrSb crystal. The functional is GGA-PBE.

Cell lengths 10.1169, 10.1169, 10.1169 Å; angles 157.53, 157.53, 31.99 degrees
Closest atoms and distances in Å follow each position.
Element x y z (fractional)
Ti 0.1230 0.6250 0.9980  4 Ti 2.78-2.80, 2 Cr 2.80, 2 Sb 2.81
Ti 0.3750 0.3730 0.4980  4 Ti 2.78-2.80, 2 Cr 2.80, 2 Sb 2.81
Ti 0.6270 0.1250 0.0020  4 Ti 2.78-2.80, 2 Cr 2.80, 2 Sb 2.81
Ti 0.8750 0.8770 0.5020  4 Ti 2.78-2.80, 2 Cr 2.80, 2 Sb 2.81
Cr 0.0000 0.0000 0.0000  4 Sb 2.79, 4 Ti 2.80
Cr 0.7500 0.2500 0.5000  4 Sb 2.79, 4 Ti 2.80
Sb 0.2500 0.7500 0.5000  4 Cr 2.79, 4 Ti 2.81
Sb 0.5000 0.5000 0.0000  4 Cr 2.79, 4 Ti 2.81

## Properties
The value obtained for the density of states at the Fermi level is 10.26 states/eV/cell. The energy relative to the elements, uncorrected is 0.34 eV/atom.